Computed, not measured: crystalline Li4V5Co3O16 at its relaxed geometry at the GGA+U level of DFT.

The structure in extended XYZ format:
```
28
Lattice="-3.540 -3.953 2.613 2.139 -3.522 4.243 -2.419 6.346 6.751" Properties=species:S:1:pos:R:3 pbc="T T T"
O -1.943 1.247 6.443
O -2.119 -2.640 3.044
O -3.332 -2.326 12.227
O -2.622 -2.386 9.767
O -0.445 -0.835 1.773
O -1.103 3.481 7.872
O -2.103 -5.557 8.797
O -0.700 -3.232 7.873
O -3.584 -0.697 7.582
O -1.589 -1.662 5.977
O -2.698 1.776 8.932
O -0.899 -0.493 8.353
O 0.538 -2.438 3.806
O -3.116 -3.415 7.180
O -1.218 -4.466 5.425
O -3.713 3.283 7.122
Li -2.576 -4.371 10.131
Li -1.437 0.067 4.989
Li -2.410 6.275 6.739
Li -3.110 0.785 10.629
Co 0.060 -2.995 5.875
Co -1.945 3.230 5.923
Co -2.732 -3.207 5.074
V -1.711 -4.692 7.203
V -3.715 1.482 7.195
V -2.081 -1.724 7.708
V -0.483 -2.544 2.354
V -0.888 1.697 8.006
```

Properties
ρ   4.091 g cm⁻³
Electronic total energy   -6.774 eV/atom